(1)
VASP calculation (PBE-GGA) on an optimized crystal structure of CsMgMoSe2.

Results
Formation energy without anion corrections: 1.5 eV per formula unit
Electronic total energy: -3.7564 eV per atom

extended XYZ file:
```
5
Lattice="5.018 0.000 0.000 0.000 5.018 0.000 0.000 0.000 6.078" Properties=species:S:1:pos:R:3 pbc="T T T"
Cs 0.000 0.000 0.000
Mg 2.509 2.509 0.000
Mo 0.000 0.000 3.039
Se 0.000 2.509 3.039
Se 2.509 0.000 3.039
```

(2)
VASP calculation (PBE-GGA) on an optimized crystal structure of CsMgTiMo2.

Results
E_form: 7.4 eV/f.u.
Electronic total energy: -4.9270 eV per atom

extended XYZ file:
```
5
Lattice="4.873 0.000 0.000 0.000 4.873 0.000 0.000 0.000 5.694" Properties=species:S:1:pos:R:3 pbc="T T T"
Cs 0.000 0.000 0.000
Mg 2.436 2.436 0.000
Ti 2.436 2.436 2.847
Mo 0.000 2.436 2.847
Mo 2.436 0.000 2.847
```

(3)
VASP calculation (PBE-GGA) on an optimized crystal structure of CsMgZrMo2.

Results
E_form: 10.3 eV/f.u.
Electronic total energy: -4.4721 eV per atom

extended XYZ file:
```
5
Lattice="5.210 0.000 0.000 0.000 5.210 0.000 0.000 0.000 5.330" Properties=species:S:1:pos:R:3 pbc="T T T"
Cs 0.000 0.000 0.000
Mg 2.605 2.605 2.665
Zr 2.605 2.605 0.000
Mo 0.000 2.605 2.665
Mo 2.605 0.000 2.665
```

(4)
VASP calculation (PBE-GGA) on an optimized crystal structure of CsMgN.

Results
Formation energy without anion corrections: 0.4 eV per formula unit
Electronic total energy: -3.4599 eV per atom

extended XYZ file:
```
12
Lattice="10.276 0.000 0.000 0.000 6.203 0.000 0.000 0.000 6.601" Properties=species:S:1:pos:R:3 pbc="T T T"
Cs 1.541 1.551 0.029
Cs 3.597 4.652 3.330
Cs 6.679 1.551 3.272
Cs 8.735 4.652 6.572
Mg 0.000 0.000 3.301
Mg 0.000 3.102 3.301
Mg 5.138 0.000 0.000
Mg 5.138 3.102 0.000
N 0.587 4.652 4.326
N 4.551 1.551 1.026
N 5.725 4.652 5.576
N 9.689 1.551 2.275
```

(5)
VASP calculation (PBE-GGA) on an optimized crystal structure of CsMgN.

Results
Formation energy without anion corrections: -0.2 eV per formula unit
Electronic total energy: -3.6459 eV per atom

extended XYZ file:
```
12
Lattice="10.821 0.000 0.000 0.000 3.938 0.000 0.000 0.000 7.475" Properties=species:S:1:pos:R:3 pbc="T T T"
Cs 1.853 0.985 0.173
Cs 3.557 2.954 3.911
Cs 7.264 0.985 3.564
Cs 8.968 2.954 7.301
Mg 0.184 0.985 4.566
Mg 5.227 2.954 0.829
Mg 5.594 0.985 6.646
Mg 10.637 2.954 2.908
N 0.325 2.954 5.034
N 5.086 0.985 1.297
N 5.735 2.954 6.178
N 10.496 0.985 2.441
```

(6)
VASP calculation (PBE-GGA) on an optimized crystal structure of CsMg3N.

Results
Formation energy without anion corrections: 2.7 eV per formula unit
Electronic total energy: -2.2607 eV per atom
Polymorph energy (0 for the lowest one): 0.000 eV/atom

extended XYZ file:
```
5
Lattice="4.882 0.000 0.000 0.000 4.882 0.000 0.000 0.000 4.882" Properties=species:S:1:pos:R:3 pbc="T T T"
Cs 0.000 0.000 0.000
Mg 0.000 2.441 2.441
Mg 2.441 0.000 2.441
Mg 2.441 2.441 0.000
N 2.441 2.441 2.441
```

(7)
VASP calculation (PBE-GGA) on an optimized crystal structure of CsMgN.

Results
Formation energy without anion corrections: -0.6 eV per formula unit
Electronic total energy: -3.7930 eV per atom

extended XYZ file:
```
6
Lattice="11.486 -1.940 0.000 11.486 1.940 0.000 -0.037 0.000 3.880" Properties=species:S:1:pos:R:3 pbc="T T T"
Cs 2.880 0.000 0.957
Cs 20.054 0.000 2.922
Mg 5.714 0.000 2.910
Mg 17.221 0.000 0.969
N 6.691 0.000 0.980
N 16.243 0.000 2.900
```

(8)
VASP calculation (PBE-GGA) on an optimized crystal structure of Cs2MgN.

Results
Formation energy without anion corrections: 4.3 eV per formula unit
Electronic total energy: -1.8256 eV per atom
Polymorph energy (0 for the lowest one): 0.917 eV/atom

extended XYZ file:
```
4
Lattice="0.000 4.152 4.152 4.152 0.000 4.152 4.152 4.152 0.000" Properties=species:S:1:pos:R:3 pbc="T T T"
Cs 2.076 2.076 2.076
Cs 6.229 6.229 6.229
Mg 0.000 0.000 0.000
N 4.152 4.152 4.152
```